MnCdFe2 PBE-GGA relaxed; magnetization = 2.4 Bohr magnetons per cell; formation enthalpy at 0 K = 0.278 eV/atom; calculated total energy = -6.475 eV/atom; mass density = 8.7 Mg/m³
1.0
2.648 0.000 0.000
0.000 2.648 0.000
0.000 0.000 7.639
Mn Cd Fe
1 1 2
Cartesian
0.000 0.000 0.000 Mn
0.000 0.000 3.820 Cd
1.324 1.324 1.648 Fe
1.324 1.324 5.992 Fe



Mn2NiRu PBE-GGA relaxed; magnetization = 1.0 Bohr magnetons per cell; formation enthalpy at 0 K = -0.013 eV/atom; calculated total energy = -8.362 eV/atom; mass density = 9.1 Mg/m³
1.0
-1.834 1.834 3.670
1.834 -1.834 3.670
1.834 1.834 -3.670
Mn Ni Ru
2 1 1
Cartesian
0.000 0.000 0.000 Mn
0.000 1.834 1.835 Mn
0.000 0.000 3.670 Ni
1.834 0.000 1.835 Ru



PrPb2ClO4 PBE-GGA relaxed; magnetization = 0.0 Bohr magnetons per cell; ΔE_f (raw) = -1624 meV/atom; calculated total energy = -5.858 eV/atom; mass density = 7.3 Mg/m³
1.0
4.072 0.000 0.000
0.000 4.072 0.000
0.000 0.000 8.945
Pr Pb Cl O
1 2 1 4
Cartesian
0.000 0.000 0.000 Pr
2.036 2.036 2.493 Pb
2.036 2.036 6.451 Pb
0.000 0.000 4.472 Cl
0.000 2.036 1.422 O
0.000 2.036 7.523 O
2.036 0.000 1.422 O
2.036 0.000 7.523 O



Rb3Sm3PuS8 PBE-GGA relaxed; magnetization = 4.0 Bohr magnetons per cell; ΔE_f (raw) = -1751 meV/atom; calculated total energy = -6.045 eV/atom; mass density = 4.4 Mg/m³
1.0
4.123 2.380 7.819
-4.123 2.380 7.819
0.000 -4.760 7.819
Rb Sm Pu S
3 3 1 8
Cartesian
-2.061 -1.190 7.819 Rb
-2.061 1.190 15.638 Rb
0.000 2.380 7.819 Rb
-4.123 0.000 11.728 Sm
-2.061 1.190 3.909 Sm
2.061 1.190 3.909 Sm
0.000 0.000 11.728 Pu
0.000 0.000 5.428 S
-1.987 -1.147 13.185 S
0.000 -2.294 10.271 S
-1.987 1.147 10.271 S
1.987 -1.147 13.185 S
0.000 2.294 13.185 S
1.987 1.147 10.271 S
0.000 0.000 18.029 S



TlGa2Cu2 PBE-GGA relaxed; magnetization = 0.0 Bohr magnetons per cell; formation enthalpy at 0 K = 0.121 eV/atom; calculated total energy = -3.201 eV/atom; mass density = 8.9 Mg/m³
1.0
7.991 0.000 0.000
0.000 7.991 0.000
0.000 0.000 2.744
Tl Ga Cu
2 4 4
Cartesian
0.000 0.000 0.000 Tl
3.996 3.996 0.000 Tl
1.019 2.976 0.000 Ga
2.976 6.972 0.000 Ga
5.015 1.019 0.000 Ga
6.972 5.015 0.000 Ga
1.330 5.326 1.372 Cu
2.666 1.330 1.372 Cu
5.326 6.661 1.372 Cu
6.661 2.666 1.372 Cu



Y2Ho3Se6 PBE-GGA relaxed; magnetization = 0.0 Bohr magnetons per cell; ΔE_f (raw) = -1763 meV/atom; calculated total energy = -6.088 eV/atom; mass density = 6.5 Mg/m³
1.0
2.052 1.185 20.057
-2.052 1.185 20.057
0.000 -2.369 20.057
Y Ho Se
2 3 6
Cartesian
0.000 0.000 3.244 Y
0.000 0.000 56.926 Y
0.000 0.000 13.229 Ho
0.000 0.000 30.085 Ho
0.000 0.000 46.941 Ho
0.000 0.000 8.406 Se
0.000 0.000 18.226 Se
0.000 0.000 25.181 Se
0.000 0.000 34.989 Se
0.000 0.000 41.945 Se
0.000 0.000 51.764 Se



KBa PBE-GGA relaxed; magnetization = 0.0 Bohr magnetons per cell; formation enthalpy at 0 K = 0.096 eV/atom; calculated total energy = -1.414 eV/atom; mass density = 2.2 Mg/m³
1.0
4.775 0.000 0.000
0.000 22.236 0.000
0.000 0.000 7.696
K Ba
6 6
Cartesian
1.194 1.853 0.103 K
1.194 9.265 0.103 K
1.194 16.677 7.560 K
3.581 5.559 0.136 K
3.581 12.971 7.593 K
3.581 20.383 7.593 K
1.194 5.559 3.983 Ba
1.194 12.971 3.750 Ba
1.194 20.383 3.750 Ba
3.581 1.853 3.946 Ba
3.581 9.265 3.946 Ba
3.581 16.677 3.713 Ba



Sc4Al12Cu PBE-GGA relaxed; magnetization = 0.0 Bohr magnetons per cell; formation enthalpy at 0 K = -0.398 eV/atom; calculated total energy = -4.771 eV/atom; mass density = 3.2 Mg/m³
1.0
-4.192 4.192 4.192
4.192 -4.192 4.192
4.192 4.192 -4.192
Sc Al Cu
4 12 1
Cartesian
2.096 2.096 -2.096 Sc
2.096 -2.096 2.096 Sc
-2.096 2.096 2.096 Sc
2.096 2.096 2.096 Sc
2.417 0.000 0.000 Al
5.967 0.000 0.000 Al
4.192 2.096 0.000 Al
4.192 0.000 2.096 Al
0.000 2.417 0.000 Al
0.000 0.000 2.417 Al
2.096 4.192 0.000 Al
2.096 0.000 4.192 Al
0.000 5.967 0.000 Al
0.000 0.000 5.967 Al
0.000 4.192 2.096 Al
0.000 2.096 4.192 Al
0.000 0.000 0.000 Cu



Ca2As2P PBE-GGA relaxed; magnetization = 0.0 Bohr magnetons per cell; formation enthalpy at 0 K = -0.656 eV/atom; calculated total energy = -4.399 eV/atom; mass density = 3.8 Mg/m³
1.0
7.259 0.000 0.000
0.000 7.259 0.000
0.000 0.000 4.282
Ca As P
4 4 2
Cartesian
1.276 2.354 0.000 Ca
2.354 5.983 0.000 Ca
4.906 1.276 0.000 Ca
5.983 4.906 0.000 Ca
0.946 4.576 2.141 As
2.684 0.946 2.141 As
4.576 6.313 2.141 As
6.313 2.684 2.141 As
0.000 0.000 2.141 P
3.630 3.630 2.141 P



PuSnN PBE-GGA relaxed; magnetization = 3.8 Bohr magnetons per cell; ΔE_f (raw) = -478 meV/atom; calculated total energy = -9.364 eV/atom; mass density = 9.9 Mg/m³
1.0
3.714 0.000 0.000
-1.857 3.216 0.000
0.000 0.000 5.307
Pu Sn N
1 1 1
Cartesian
0.000 0.000 0.000 Pu
1.857 1.072 2.653 Sn
0.000 2.144 0.000 N



ZnIn2Co PBE-GGA relaxed; magnetization = 0.7 Bohr magnetons per cell; formation enthalpy at 0 K = 0.213 eV/atom; calculated total energy = -3.251 eV/atom; mass density = 8.2 Mg/m³
1.0
3.439 0.000 0.000
0.000 3.616 0.000
0.000 0.000 5.750
Zn In Co
1 2 1
Cartesian
0.000 0.000 0.000 Zn
0.000 0.000 2.576 In
1.720 1.808 4.365 In
1.720 1.808 1.307 Co



Tb7TmTh2 PBE-GGA relaxed; magnetization = 0.0 Bohr magnetons per cell; formation enthalpy at 0 K = 0.458 eV/atom; calculated total energy = -4.714 eV/atom; mass density = 8.4 Mg/m³
1.0
5.983 -8.306 0.000
5.983 8.306 0.000
0.000 0.000 3.492
Tb Tm Th
7 1 2
Cartesian
0.000 0.000 0.000 Tb
2.913 2.093 0.000 Tb
5.983 5.495 1.746 Tb
2.913 -2.093 0.000 Tb
9.053 2.093 0.000 Tb
5.983 -5.495 1.746 Tb
9.053 -2.093 0.000 Tb
5.983 0.000 1.746 Tm
5.983 2.872 0.000 Th
5.983 -2.872 0.000 Th